## K3Na3CrF8 (PBE+U)

Data for a relaxed structure of K3Na3CrF8.

Cell and atoms, written as POSCAR:
```
K3Na3CrF8
1.0
5.958 -3.489 0.000
5.958 3.489 0.000
-3.996 0.000 6.042
K Na Cr F
3 3 1 8
direct
0.000 0.000 0.000
0.000 0.500 0.000
0.500 0.000 0.000
0.000 0.500 0.500
0.500 0.000 0.500
0.500 0.500 0.500
0.000 0.000 0.500
0.205 0.205 0.688
0.221 0.757 0.700
0.243 0.779 0.300
0.261 0.261 0.284
0.739 0.739 0.716
0.757 0.221 0.700
0.779 0.243 0.300
0.795 0.795 0.312
```

Summary:
space group	C2/m
DFT total energy	-69.99	eV/cell